# Np2Ge5Ru3 | the Alexandria database | PBE | relaxed
# Formation enthalpy at 0 K   -280 meV per atom
# Final energy   -7.96 eV/atom
# DOS at the Fermi energy   68.2 states/eV per cell
data_Np2Ge5Ru3
_chemical_formula_sum 'Np8 Ge20 Ru12'
_symmetry_space_group_name_H-M 'C m c 21'
_symmetry_Int_Tables_number 36
_symmetry_space_group_name_Hall 'C 2c -2'
_cell_length_a 4.2695
_cell_length_b 24.5825
_cell_length_c 6.7089
_cell_angle_alpha 90.00
_cell_angle_beta 90.00
_cell_angle_gamma 90.00
loop_
_atom_site_label
_atom_site_fract_x
_atom_site_fract_y
_atom_site_fract_z
_atom_site_occupancy
Np1 0.0000 0.0221 0.0000 1
Np2 0.0000 0.3282 0.9541 1
Ge1 0.0000 0.1001 0.6331 1
Ge2 0.0000 0.2079 0.1616 1
Ge3 0.0000 0.2080 0.7401 1
Ge4 0.0000 0.3780 0.5022 1
Ge5 0.0000 0.4515 0.8348 1
Ru1 0.0000 0.1028 0.2450 1
Ru2 0.0000 0.2766 0.4508 1
Ru3 0.0000 0.4482 0.2216 1